This record from Alexandria via LeMat-Bulk describes crystalline LiBeNi at its relaxed geometry. The functional is PBE.

The structure in CIF format:
```
data_LiBeNi
_chemical_formula_sum 'Li1 Be1 Ni1'
_cell_length_a 3.805
_cell_length_b 3.805
_cell_length_c 2.400
_cell_angle_alpha 90.00
_cell_angle_beta 90.00
_cell_angle_gamma 120.00
_symmetry_space_group_name_H-M 'P 1'
_symmetry_Int_Tables_number 1
_symmetry_space_group_name_Hall 'P 1'
loop_
_atom_site_label
_atom_site_type_symbol
_atom_site_fract_x
_atom_site_fract_y
_atom_site_fract_z
Li1 Li 0.000 0.000 0.000
Be1 Be 0.667 0.333 0.686
Ni1 Ni 0.333 0.667 0.352
```

Computed properties:
Offset from the most stable computed form, meV per atom: 165
Formation energy from the elements, eV/atom: -0.0292